Entry 1:
Density functional theory data (PBE) for an optimized crystal structure of Mg2Sc2Cd2AgHg.

Results
Symmetry: No. 115
Total DFT energy (no corrections): -2.89 eV per atom
M_tot: 0.0 μB per cell
Crystal system: tetragonal

Lattice parameters (Å, degrees): 4.888 4.888 6.858 90.00 90.00 90.00
Atoms (fractional coordinates):
Ag1 0.000 0.000 0.000
Cd1 0.500 0.500 0.000
Cd2 0.000 0.000 0.500
Hg1 0.500 0.500 0.500
Mg1 0.500 0.000 0.243
Mg2 0.000 0.500 0.757
Sc1 0.000 0.500 0.247
Sc2 0.500 0.000 0.753

Entry 2:
Density functional theory data (PBE) for an optimized crystal structure of GdPbSO.

Results
Polymorph energy (0 for the lowest one): 0.062 eV/f.u.
Symmetry: No. 61
Total DFT energy (no corrections): -6.16 eV per atom
M_tot: 0.0 μB per cell
Crystal system: orthorhombic

Lattice parameters (Å, degrees): 6.359 15.819 6.362 90.00 90.00 90.00
Atoms (fractional coordinates):
Gd1 0.396 0.291 0.043
Gd2 0.104 0.791 0.043
Gd3 0.896 0.291 0.457
Gd4 0.604 0.791 0.457
Gd5 0.396 0.209 0.543
Gd6 0.104 0.709 0.543
Gd7 0.896 0.209 0.957
Gd8 0.604 0.709 0.957
O1 0.165 0.222 0.248
O2 0.335 0.722 0.248
O3 0.665 0.222 0.252
O4 0.835 0.722 0.252
O5 0.165 0.278 0.748
O6 0.335 0.778 0.748
O7 0.665 0.278 0.752
O8 0.835 0.778 0.752
Pb1 0.172 0.043 0.207
Pb2 0.328 0.543 0.207
Pb3 0.672 0.043 0.293
Pb4 0.828 0.543 0.293
Pb5 0.172 0.457 0.707
Pb6 0.328 0.957 0.707
Pb7 0.672 0.457 0.793
Pb8 0.828 0.957 0.793
S1 0.988 0.390 0.109
S2 0.512 0.890 0.109
S3 0.488 0.390 0.391
S4 0.012 0.890 0.391
S5 0.988 0.110 0.609
S6 0.512 0.610 0.609
S7 0.488 0.110 0.891
S8 0.012 0.610 0.891

Entry 3:
Density functional theory data (PBE) for an optimized crystal structure of RbP2IrSe7.

Results
Symmetry: No. 5
Total DFT energy (no corrections): -4.42 eV per atom
M_tot: 0.0 μB per cell
Crystal system: monoclinic

Lattice parameters (Å, degrees): 6.966 6.966 6.849 95.53 95.53 94.71
Atoms (fractional coordinates):
Ir1 0.517 0.483 0.000
P1 0.061 0.347 0.074
P2 0.653 0.939 0.926
Rb1 0.102 0.898 0.500
Se1 0.986 0.014 0.000
Se2 0.512 0.816 0.174
Se3 0.830 0.485 0.221
Se4 0.338 0.348 0.267
Se5 0.652 0.662 0.733
Se6 0.515 0.170 0.779
Se7 0.184 0.488 0.826

Entry 4:
Density functional theory data (PBE) for an optimized crystal structure of Rb2Er4Cu4S9.

Results
Symmetry: No. 12
Total DFT energy (no corrections): -5.22 eV per atom
M_tot: 0.0 μB per cell
Crystal system: monoclinic

Lattice parameters (Å, degrees): 7.187 7.187 15.865 108.49 108.49 31.76
Atoms (fractional coordinates):
Cu1 0.930 0.930 0.039
Cu2 0.252 0.252 0.271
Cu3 0.748 0.748 0.729
Cu4 0.070 0.070 0.961
Er1 0.732 0.732 0.104
Er2 0.846 0.846 0.446
Er3 0.154 0.154 0.554
Er4 0.268 0.268 0.896
Rb1 0.528 0.528 0.271
Rb2 0.472 0.472 0.729
S1 0.360 0.360 0.075
S2 0.109 0.109 0.124
S3 0.844 0.844 0.277
S4 0.204 0.204 0.400
S5 0.500 0.500 0.500
S6 0.796 0.796 0.600
S7 0.156 0.156 0.723
S8 0.891 0.891 0.876
S9 0.640 0.640 0.925

Entry 5:
Density functional theory data (PBE) for an optimized crystal structure of Dy2HoTmPt4.

Results
Energy of formation from the pure elements: -1.23 eV per atom
Symmetry: No. 123
Total DFT energy (no corrections): -6.54 eV per atom
M_tot: 0.0 μB per cell
Crystal system: tetragonal

Lattice parameters (Å, degrees): 4.888 4.888 6.915 90.00 90.00 90.00
Atoms (fractional coordinates):
Dy1 0.000 0.000 0.000
Dy2 0.500 0.500 0.500
Ho1 0.000 0.000 0.500
Pt1 0.500 0.000 0.249
Pt2 0.000 0.500 0.249
Pt3 0.500 0.000 0.751
Pt4 0.000 0.500 0.751
Tm1 0.500 0.500 0.000

Entry 6:
Density functional theory data (PBE) for an optimized crystal structure of CoBr.

Results
Polymorph energy (0 for the lowest one): 0.366 eV/f.u.
Symmetry: No. 225
Total DFT energy (no corrections): -3.91 eV per atom
M_tot: 2.0 μB per cell
Crystal system: cubic

Lattice parameters (Å, degrees): 3.746 3.746 3.746 60.00 60.00 60.00
Atoms (fractional coordinates):
Br1 0.000 0.000 0.000
Co1 0.500 0.500 0.500

Entry 7:
Density functional theory data (PBE) for an optimized crystal structure of HoZrTeC.

Results
Polymorph energy (0 for the lowest one): 0.052 eV/f.u.
Symmetry: No. 187
Total DFT energy (no corrections): -7.23 eV per atom
M_tot: 0.0 μB per cell
Crystal system: hexagonal

Lattice parameters (Å, degrees): 3.642 3.642 13.829 90.00 90.00 120.00
Atoms (fractional coordinates):
C1 0.000 0.000 0.236
C2 0.000 0.000 0.764
Ho1 0.667 0.333 0.336
Ho2 0.667 0.333 0.664
Te1 0.667 0.333 0.000
Te2 0.333 0.667 0.500
Zr1 0.333 0.667 0.155
Zr2 0.333 0.667 0.845

Entry 8:
Density functional theory data (PBE) for an optimized crystal structure of Hf3Ni4Sb4.

Results
Polymorph energy (0 for the lowest one): 0.000 eV/f.u.
Symmetry: No. 121
Total DFT energy (no corrections): -6.85 eV per atom
M_tot: 0.0 μB per cell
Crystal system: tetragonal

Lattice parameters (Å, degrees): 6.073 6.073 7.380 65.70 65.70 90.00
Atoms (fractional coordinates):
Hf1 0.500 0.500 0.000
Hf2 0.750 0.250 0.500
Hf3 0.250 0.750 0.500
Ni1 0.610 0.132 0.258
Ni2 0.132 0.610 0.258
Ni3 0.390 0.390 0.742
Ni4 0.868 0.868 0.742
Sb1 0.500 0.000 0.000
Sb2 0.000 0.500 0.000
Sb3 0.763 0.763 0.475
Sb4 0.237 0.237 0.525

Entry 9:
Density functional theory data (PBE) for an optimized crystal structure of UBeBi.

Results
Polymorph energy (0 for the lowest one): 1.279 eV/f.u.
Symmetry: No. 216
Total DFT energy (no corrections): -5.42 eV per atom
M_tot: 3.0 μB per cell
Crystal system: cubic

Lattice parameters (Å, degrees): 4.945 4.945 4.945 60.00 60.00 60.00
Atoms (fractional coordinates):
Be1 0.250 0.250 0.250
Bi1 0.750 0.750 0.750
U1 0.000 0.000 0.000

Entry 10:
Density functional theory data (PBE) for an optimized crystal structure of Sm3AlCoS7.

Results
Symmetry: No. 173
Total DFT energy (no corrections): -6.05 eV per atom
M_tot: 2.0 μB per cell
Crystal system: hexagonal

Lattice parameters (Å, degrees): 9.692 9.692 6.183 90.00 90.00 120.00
Each line ends with the local moment (μB).
Atoms (fractional coordinates):
Al1 0.667 0.333 0.149  0.00
Al2 0.333 0.667 0.649  0.00
Co1 0.000 0.000 0.065  0.82
Co2 0.000 0.000 0.565  0.81
S1 0.568 0.478 0.003  0.00
S2 0.522 0.090 0.003  0.00
S3 0.910 0.432 0.003  0.00
S4 0.333 0.667 0.010  0.00
S5 0.220 0.126 0.318  0.02
S6 0.907 0.780 0.318  0.02
S7 0.874 0.093 0.318  0.02
S8 0.432 0.522 0.503  0.00
S9 0.478 0.910 0.503  0.00
S10 0.090 0.568 0.503  0.00
S11 0.667 0.333 0.510  0.00
S12 0.780 0.874 0.818  0.02
S13 0.093 0.220 0.818  0.02
S14 0.126 0.907 0.818  0.02
Sm1 0.218 0.844 0.226  0.01
Sm2 0.156 0.374 0.226  0.01
Sm3 0.626 0.782 0.226  0.01
Sm4 0.782 0.156 0.726  0.01
Sm5 0.844 0.626 0.726  0.01
Sm6 0.374 0.218 0.726  0.01

Entry 11:
Density functional theory data (PBE) for an optimized crystal structure of TbAlIn4Ir.

Results
Symmetry: No. 123
Total DFT energy (no corrections): -4.36 eV per atom
M_tot: 0.0 μB per cell
Crystal system: tetragonal

Lattice parameters (Å, degrees): 4.615 4.615 7.436 90.00 90.00 90.00
Atoms (fractional coordinates):
Al1 0.500 0.500 0.000
In1 0.500 0.000 0.296
In2 0.000 0.500 0.296
In3 0.500 0.000 0.704
In4 0.000 0.500 0.704
Ir1 0.000 0.000 0.500
Tb1 0.000 0.000 0.000

Entry 12:
Density functional theory data (PBE) for an optimized crystal structure of CuH5C5NCl.

Results
Symmetry: No. 14
Total DFT energy (no corrections): -5.92 eV per atom
Crystal system: monoclinic

Lattice parameters (Å, degrees): 6.731 7.371 13.566 90.00 110.56 90.00
Atoms (fractional coordinates):
C1 0.361 0.690 0.033
C2 0.800 0.343 0.069
C3 0.398 0.574 0.116
C4 0.821 0.237 0.156
C5 0.565 0.598 0.211
C6 0.435 0.098 0.289
C7 0.179 0.737 0.344
C8 0.602 0.074 0.384
C9 0.200 0.843 0.431
C10 0.639 0.190 0.467
C11 0.361 0.810 0.533
C12 0.800 0.157 0.569
C13 0.398 0.926 0.616
C14 0.821 0.263 0.656
C15 0.565 0.902 0.711
C16 0.435 0.402 0.789
C17 0.179 0.763 0.844
C18 0.602 0.426 0.884
C19 0.200 0.657 0.931
C20 0.639 0.310 0.967
Cl1 0.876 0.831 0.057
Cl2 0.124 0.331 0.443
Cl3 0.876 0.669 0.557
Cl4 0.124 0.169 0.943
Cu1 0.031 0.136 0.090
Cu2 0.969 0.636 0.410
Cu3 0.031 0.364 0.590
Cu4 0.969 0.864 0.910
H1 0.463 0.809 0.041
H2 0.888 0.470 0.078
H3 0.304 0.450 0.109
H4 0.710 0.126 0.151
H5 0.917 0.283 0.235
H6 0.083 0.783 0.265
H7 0.290 0.626 0.349
H8 0.696 0.950 0.391
H9 0.112 0.970 0.422
H10 0.537 0.309 0.459
H11 0.463 0.691 0.541
H12 0.888 0.030 0.578
H13 0.304 0.050 0.609
H14 0.710 0.374 0.651
H15 0.917 0.217 0.735
H16 0.083 0.717 0.765
H17 0.290 0.874 0.849
H18 0.696 0.550 0.891
H19 0.112 0.530 0.922
H20 0.537 0.191 0.959
N1 0.294 0.111 0.208
N2 0.706 0.611 0.292
N3 0.294 0.389 0.708
N4 0.706 0.889 0.792

Entry 13:
Density functional theory data (PBE) for an optimized crystal structure of Y2Ta4Al3N3.

Results
Symmetry: No. 15
Total DFT energy (no corrections): -8.89 eV per atom
M_tot: 0.0 μB per cell
Crystal system: monoclinic

Lattice parameters (Å, degrees): 5.550 5.550 14.298 101.47 101.47 60.03
Atoms (fractional coordinates):
Al1 0.098 0.414 0.249
Al2 0.073 0.927 0.250
Al3 0.586 0.902 0.251
Al4 0.414 0.098 0.749
Al5 0.927 0.073 0.750
Al6 0.902 0.586 0.751
N1 0.500 0.000 0.000
N2 0.834 0.333 0.000
N3 0.166 0.667 0.000
N4 0.333 0.834 0.500
N5 0.000 0.500 0.500
N6 0.667 0.166 0.500
Ta1 0.202 0.019 0.080
Ta2 0.853 0.694 0.080
Ta3 0.306 0.147 0.420
Ta4 0.981 0.798 0.420
Ta5 0.019 0.202 0.580
Ta6 0.694 0.853 0.580
Ta7 0.147 0.306 0.920
Ta8 0.798 0.981 0.920
Y1 0.540 0.377 0.116
Y2 0.623 0.460 0.384
Y3 0.377 0.540 0.616
Y4 0.460 0.623 0.884

Entry 14:
Density functional theory data (PBE) for an optimized crystal structure of CdCo3Re6.

Results
Energy of formation from the pure elements: 2.98 eV per atom
Symmetry: No. 139
Total DFT energy (no corrections): -6.70 eV per atom
M_tot: 5.9 μB per cell
Crystal system: tetragonal

Lattice parameters (Å, degrees): 6.741 6.741 6.741 117.80 117.80 93.85
Each line ends with the local moment (μB).
Atoms (fractional coordinates):
Cd1 0.000 0.000 0.000  0.00
Co1 0.500 0.500 0.000  0.50
Co2 0.750 0.250 0.500  0.91
Co3 0.250 0.750 0.500  0.91
Re1 0.273 0.273 0.000  1.60
Re2 0.727 0.727 0.000  1.60
Re3 0.350 0.000 0.350  0.02
Re4 0.000 0.350 0.350  0.00
Re5 0.650 0.000 0.650  0.02
Re6 0.000 0.650 0.650  0.00

Entry 15:
Density functional theory data (PBE) for an optimized crystal structure of Zr5CoNi2.

Results
Energy of formation from the pure elements: -0.11 eV per atom
Symmetry: No. 38
Total DFT energy (no corrections): -7.74 eV per atom
M_tot: 0.0 μB per cell
Crystal system: orthorhombic

Lattice parameters (Å, degrees): 4.558 5.765 5.765 69.93 90.00 90.00
Each line ends with the local moment (μB).
Atoms (fractional coordinates):
Co1 0.500 0.120 0.120  -0.06
Ni1 0.000 0.343 0.343  0.01
Ni2 0.500 0.657 0.657  0.01
Zr1 0.500 0.608 0.155  0.01
Zr2 0.000 0.870 0.375  0.01
Zr3 0.500 0.155 0.608  0.01
Zr4 0.000 0.375 0.870  0.01
Zr5 0.000 0.874 0.874  0.02

Entry 16:
Density functional theory data (PBE) for an optimized crystal structure of Pr3Mg3Hg2Au.

Results
Symmetry: No. 189
Total DFT energy (no corrections): -3.02 eV per atom
M_tot: 1.0 μB per cell
Crystal system: hexagonal

Lattice parameters (Å, degrees): 7.837 7.837 4.419 90.00 90.00 120.00
Each line ends with the local moment (μB).
Atoms (fractional coordinates):
Au1 0.000 0.000 0.000  0.01
Hg1 0.667 0.333 0.500  0.05
Hg2 0.333 0.667 0.500  0.05
Mg1 0.764 0.000 0.500  0.01
Mg2 0.236 0.236 0.500  0.01
Mg3 0.000 0.764 0.500  0.00
Pr1 0.407 0.000 0.000  0.09
Pr2 0.000 0.407 0.000  0.10
Pr3 0.593 0.593 0.000  0.08

Entry 17:
Density functional theory data (PBE) for an optimized crystal structure of Dy4ErTm2Co2Te2.

Results
Symmetry: No. 44
Total DFT energy (no corrections): -5.38 eV per atom
M_tot: 0.0 μB per cell
Crystal system: orthorhombic

Lattice parameters (Å, degrees): 9.321 9.321 9.321 156.33 66.45 118.93
Atoms (fractional coordinates):
Co1 0.989 0.753 0.237
Co2 0.516 0.753 0.763
Dy1 0.399 0.264 0.134
Dy2 0.762 0.411 0.352
Dy3 0.059 0.411 0.648
Dy4 0.130 0.264 0.866
Er1 0.682 0.682 0.000
Te1 0.018 0.018 0.000
Te2 0.419 0.919 0.500
Tm1 0.374 0.060 0.315
Tm2 0.745 0.060 0.685

Entry 18:
Density functional theory data (PBE) for an optimized crystal structure of Dy3Mg3AlIn2.

Results
Symmetry: No. 189
Total DFT energy (no corrections): -3.43 eV per atom
M_tot: 0.0 μB per cell
Crystal system: hexagonal

Lattice parameters (Å, degrees): 7.489 7.489 4.624 90.00 90.00 120.00
Atoms (fractional coordinates):
Al1 0.000 0.000 0.000
Dy1 0.570 0.000 0.000
Dy2 0.430 0.430 0.000
Dy3 0.000 0.570 0.000
In1 0.667 0.333 0.500
In2 0.333 0.667 0.500
Mg1 0.237 0.000 0.500
Mg2 0.000 0.237 0.500
Mg3 0.763 0.763 0.500